Record 1
Material: TiMn4Ga
Method: DFT, PBE-GGA
State: relaxed

Geometry as POSCAR:
```
TiMn4Ga
1.0
4.7213 0.0000 0.0000
2.3607 4.0888 0.0000
2.3607 1.3629 3.8550
Mn Ga Ti
4 1 1
direct
0.6258 0.6258 0.6258 Mn
0.6258 0.1227 0.6258 Mn
0.1227 0.6258 0.6258 Mn
0.6258 0.6258 0.1227 Mn
0.0000 0.0000 0.0000 Ga
0.2500 0.2500 0.2500 Ti
```

Results
The space group is F-43m, No. 216. The energy above the most stable polymorph in this dataset comes out at 6 meV per atom.


Record 2
Material: Zn7CdGa12
Method: DFT, PBE-GGA
State: relaxed

Geometry as POSCAR:
```
Zn7CdGa12
1.0
-0.0210 1.2686 -7.5265
5.9499 -4.5249 1.5430
-6.3409 -3.9012 1.6825
Ga Zn Cd
12 7 1
direct
0.0183 0.2702 0.7596 Ga
0.4606 0.3955 0.8145 Ga
0.5394 0.6045 0.1855 Ga
0.6045 0.1855 0.5394 Ga
0.7298 0.2404 0.9817 Ga
0.1855 0.5394 0.6045 Ga
0.3955 0.8145 0.4606 Ga
0.7596 0.0183 0.2702 Ga
0.9817 0.7298 0.2404 Ga
0.2702 0.7596 0.0183 Ga
0.2404 0.9817 0.7298 Ga
0.8145 0.4606 0.3955 Ga
0.4299 0.1791 0.1500 Zn
0.1500 0.4299 0.1791 Zn
0.8209 0.8500 0.5701 Zn
0.5701 0.8209 0.8500 Zn
0.8500 0.5701 0.8209 Zn
0.5000 0.5000 0.5000 Zn
0.1791 0.1500 0.4299 Zn
0.0000 0.0000 0.0000 Cd
```

Results
The space group is R-3, No. 148.


Record 3
Material: Pr2Ga3Cu4Pt
Method: DFT, PBE-GGA
State: relaxed

Geometry as POSCAR:
```
Pr2Ga3Cu4Pt
1.0
4.2218 0.0000 0.0000
0.0000 4.2218 0.0000
0.0000 0.0000 10.2782
Cu Ga Pr Pt
4 3 2 1
direct
0.0000 0.0000 0.0000 Cu
0.0000 0.5000 0.3604 Cu
0.5000 0.5000 0.0000 Cu
0.5000 0.0000 0.6396 Cu
0.0000 0.0000 0.5000 Ga
0.0000 0.5000 0.1238 Ga
0.5000 0.0000 0.8762 Ga
0.0000 0.5000 0.7480 Pr
0.5000 0.0000 0.2520 Pr
0.5000 0.5000 0.5000 Pt
```

Results
The space group is P-4m2, No. 115.


Respective E_tot values: -8.073, -2.241, -4.553 eV/atom.
Respective volume values: 12.4, 18.3, 18.3 Å³/atom.